Record 1
{"formula": "Ba2ScBr", "functional": "GGA-PBE", "state": "relaxed", "raw_formation_energy_ev_per_atom": -0.471, "space_group": "P4/mmm (123)", "cell": [[3.950, 0.000, 0.000], [0.000, 3.950, 0.000], [0.000, 0.000, 10.146]], "species": ["Ba", "Ba", "Sc", "Br"], "fractional_positions": [[0.000, 0.000, 0.234], [0.000, 0.000, 0.766], [0.500, 0.500, 0.500], [0.500, 0.500, 0.000]]}

=====

Record 2
{"formula": "RbEr3F10", "functional": "GGA-PBE", "state": "relaxed", "raw_formation_energy_ev_per_atom": -4.002, "space_group": "P6_3mc (186)", "cell": [[8.205, 0.000, 0.000], [-4.103, 7.106, 0.000], [0.000, 0.000, 13.403]], "species": ["Rb", "Rb", "Rb", "Rb", "Er", "Er", "Er", "Er", "Er", "Er", "Er", "Er", "Er", "Er", "Er", "Er", "F", "F", "F", "F", "F", "F", "F", "F", "F", "F", "F", "F", "F", "F", "F", "F", "F", "F", "F", "F", "F", "F", "F", "F", "F", "F", "F", "F", "F", "F", "F", "F", "F", "F", "F", "F", "F", "F", "F", "F"], "fractional_positions": [[0.000, 0.000, 0.000], [0.000, 0.000, 0.500], [0.333, 0.667, 0.240], [0.667, 0.333, 0.740], [0.011, 0.505, 0.986], [0.175, 0.349, 0.746], [0.175, 0.825, 0.746], [0.349, 0.175, 0.246], [0.495, 0.505, 0.986], [0.495, 0.989, 0.986], [0.505, 0.011, 0.486], [0.505, 0.495, 0.486], [0.651, 0.825, 0.746], [0.825, 0.175, 0.246], [0.825, 0.651, 0.246], [0.989, 0.495, 0.486], [0.007, 0.342, 0.616], [0.007, 0.665, 0.616], [0.039, 0.520, 0.812], [0.109, 0.219, 0.276], [0.109, 0.891, 0.276], [0.184, 0.368, 0.922], [0.184, 0.816, 0.922], [0.219, 0.109, 0.776], [0.222, 0.445, 0.450], [0.222, 0.778, 0.450], [0.333, 0.667, 0.030], [0.333, 0.667, 0.701], [0.335, 0.342, 0.616], [0.335, 0.993, 0.616], [0.342, 0.007, 0.116], [0.342, 0.335, 0.116], [0.368, 0.184, 0.422], [0.445, 0.222, 0.950], [0.480, 0.520, 0.812], [0.480, 0.961, 0.812], [0.520, 0.039, 0.312], [0.520, 0.480, 0.312], [0.555, 0.778, 0.450], [0.632, 0.816, 0.922], [0.658, 0.665, 0.616], [0.658, 0.993, 0.616], [0.665, 0.007, 0.116], [0.665, 0.658, 0.116], [0.667, 0.333, 0.201], [0.667, 0.333, 0.530], [0.778, 0.222, 0.950], [0.778, 0.555, 0.950], [0.781, 0.891, 0.276], [0.816, 0.184, 0.422], [0.816, 0.632, 0.422], [0.891, 0.109, 0.776], [0.891, 0.781, 0.776], [0.961, 0.480, 0.312], [0.993, 0.335, 0.116], [0.993, 0.658, 0.116]]}

=====

Record 3
{"formula": "Na2H2Au", "functional": "GGA-PBE", "state": "relaxed", "space_group": "C2/m (12)", "e_tot_ev_per_atom": -2.714, "cell": [[2.637, -2.634, 0.000], [2.637, 2.634, 0.000], [-2.626, 0.000, 5.843]], "species": ["Na", "Na", "H", "H", "Au"], "fractional_positions": [[0.136, 0.136, 0.271], [0.864, 0.864, 0.729], [0.357, 0.357, 0.711], [0.643, 0.643, 0.289], [0.500, 0.500, 0.000]]}

=====

Record 4
{"formula": "CeMnGa5Pt2", "functional": "GGA-PBE", "state": "relaxed", "space_group": "P4/mmm (123)", "delta_e_f_ev_per_fu": -2.492, "cell": [[4.333, 0.000, 0.000], [0.000, 4.333, 0.000], [0.000, 0.000, 10.010]], "species": ["Ce", "Mn", "Ga", "Ga", "Ga", "Ga", "Ga", "Pt", "Pt"], "fractional_positions": [[0.000, 0.000, 0.000], [0.000, 0.000, 0.500], [0.000, 0.500, 0.358], [0.000, 0.500, 0.642], [0.500, 0.000, 0.358], [0.500, 0.000, 0.642], [0.500, 0.500, 0.000], [0.500, 0.500, 0.233], [0.500, 0.500, 0.767]]}

=====

Record 5
{"formula": "Si3Hg4", "functional": "GGA-PBE", "state": "relaxed", "raw_formation_energy_ev_per_atom": 0.358, "space_group": "I4/mmm (139)", "cell": [[-1.695, 1.695, 13.589], [1.695, -1.695, 13.589], [1.695, 1.695, -13.589]], "species": ["Si", "Si", "Si", "Hg", "Hg", "Hg", "Hg"], "fractional_positions": [[0.000, 0.000, 0.000], [0.240, 0.240, 0.000], [0.760, 0.760, 0.000], [0.144, 0.144, 0.000], [0.433, 0.433, 0.000], [0.567, 0.567, 0.000], [0.856, 0.856, 0.000]]}

=====

Record 6
{"formula": "SrZnOs", "functional": "GGA-PBE", "state": "relaxed", "space_group": "F-43m (216)", "delta_e_f_ev_per_fu": 4.793, "cell": [[0.000, 3.491, 3.491], [3.491, 0.000, 3.491], [3.491, 3.491, 0.000]], "species": ["Sr", "Zn", "Os"], "fractional_positions": [[0.000, 0.000, 0.000], [0.250, 0.250, 0.250], [0.750, 0.750, 0.750]]}

=====

Record 7
{"formula": "Nb2CrH", "functional": "GGA-PBE", "state": "relaxed", "space_group": "Fm-3m (225)", "e_tot_ev_per_atom": -7.726, "cell": [[0.000, 3.013, 3.013], [3.013, 0.000, 3.013], [3.013, 3.013, 0.000]], "species": ["Nb", "Nb", "Cr", "H"], "fractional_positions": [[0.250, 0.250, 0.250], [0.750, 0.750, 0.750], [0.000, 0.000, 0.000], [0.500, 0.500, 0.500]]}

=====

Record 8
{"formula": "TlCrIn2", "functional": "GGA-PBE", "state": "relaxed", "space_group": "I4/mmm (139)", "delta_e_f_ev_per_fu": 1.464, "cell": [[-2.239, 2.239, 4.711], [2.239, -2.239, 4.711], [2.239, 2.239, -4.711]], "species": ["Tl", "Cr", "In", "In"], "fractional_positions": [[0.000, 0.000, 0.000], [0.500, 0.500, 0.000], [0.250, 0.750, 0.500], [0.750, 0.250, 0.500]]}

=====

Record 9
{"formula": "LiCa2Zn", "functional": "GGA-PBE", "state": "relaxed", "space_group": "C2/m (12)", "delta_e_f_ev_per_fu": 0.162, "cell": [[4.661, -1.869, 0.000], [4.661, 1.869, 0.000], [-1.262, 0.000, 7.001]], "species": ["Li", "Ca", "Ca", "Zn"], "fractional_positions": [[0.000, 0.000, 0.000], [0.238, 0.238, 0.728], [0.762, 0.762, 0.272], [0.500, 0.500, 0.500]]}

=====

Record 10
{"formula": "La2YRu", "functional": "GGA-PBE", "state": "relaxed", "space_group": "Pnma (62)", "delta_e_f_ev_per_fu": -0.970, "cell": [[7.391, 0.000, 0.000], [0.000, 9.952, 0.000], [0.000, 0.000, 6.377]], "species": ["La", "La", "La", "La", "La", "La", "La", "La", "Y", "Y", "Y", "Y", "Ru", "Ru", "Ru", "Ru"], "fractional_positions": [[0.174, 0.068, 0.170], [0.174, 0.432, 0.170], [0.326, 0.568, 0.670], [0.326, 0.932, 0.670], [0.674, 0.068, 0.330], [0.674, 0.432, 0.330], [0.826, 0.568, 0.830], [0.826, 0.932, 0.830], [0.044, 0.250, 0.651], [0.456, 0.750, 0.151], [0.544, 0.250, 0.849], [0.956, 0.750, 0.349], [0.113, 0.750, 0.937], [0.387, 0.250, 0.437], [0.613, 0.750, 0.563], [0.887, 0.250, 0.063]]}

=====

Record 11
{"formula": "Dy3Ga12Cu", "functional": "GGA-PBE", "state": "relaxed", "space_group": "P4/mmm (123)", "delta_e_f_ev_per_fu": -6.163, "cell": [[4.259, 0.000, 0.000], [0.000, 4.259, 0.000], [0.000, 0.000, 16.536]], "species": ["Dy", "Dy", "Dy", "Ga", "Ga", "Ga", "Ga", "Ga", "Ga", "Ga", "Ga", "Ga", "Ga", "Ga", "Ga", "Cu"], "fractional_positions": [[0.000, 0.000, 0.000], [0.000, 0.000, 0.262], [0.000, 0.000, 0.738], [0.000, 0.500, 0.131], [0.000, 0.500, 0.395], [0.000, 0.500, 0.605], [0.000, 0.500, 0.869], [0.500, 0.000, 0.131], [0.500, 0.000, 0.395], [0.500, 0.000, 0.605], [0.500, 0.000, 0.869], [0.500, 0.500, 0.000], [0.500, 0.500, 0.252], [0.500, 0.500, 0.500], [0.500, 0.500, 0.748], [0.000, 0.000, 0.500]]}

=====

Record 12
{"formula": "LiPdRhPb", "functional": "GGA-PBE", "state": "relaxed", "space_group": "F-43m (216)", "delta_e_f_ev_per_fu": -1.220, "cell": [[0.000, 3.202, 3.202], [3.202, 0.000, 3.202], [3.202, 3.202, 0.000]], "species": ["Li", "Pd", "Rh", "Pb"], "fractional_positions": [[0.000, 0.000, 0.000], [0.750, 0.750, 0.750], [0.250, 0.250, 0.250], [0.500, 0.500, 0.500]]}